No. 1
This record from Alexandria via LeMat-Bulk describes a relaxed LiSnRu2O crystal. The functional is GGA-PBE.

a = 4.2173 Å, b = 4.2173 Å, c = 4.5907 Å
α = 90.00°, β = 90.00°, γ = 90.00°
Sites, in units of the cell vectors:
Li 0.0000 0.0000 0.0000
Sn 0.0000 0.0000 0.5000
Ru 0.0000 0.5000 0.0000
Ru 0.5000 0.0000 0.0000
O 0.5000 0.5000 0.5000

Values from the calculation:
Crystal system: tetragonal
E, eV/atom: -4.590
Formation energy without anion corrections, meV/atom: 1296
Calculated volume, Å³/atom: 16.3

=====

No. 2
This record from Alexandria via LeMat-Bulk describes a relaxed Ti5CrGa4 crystal. The functional is GGA-PBE.

a = 6.1927 Å, b = 6.1927 Å, c = 6.1927 Å
α = 100.78°, β = 100.78°, γ = 128.75°
Sites, in units of the cell vectors:
Ti 0.0000 0.0000 0.0000
Ti 0.1588 0.5382 0.2212
Ti 0.3170 0.9377 0.7788
Ti 0.5382 0.3170 0.3794
Ti 0.9377 0.1588 0.6206
Cr 0.4492 0.4492 0.0000
Ga 0.4685 0.6384 0.6479
Ga 0.6384 0.9906 0.1699
Ga 0.8207 0.4685 0.8301
Ga 0.9906 0.8207 0.3521

Values from the calculation:
Crystal system: tetragonal
E, eV/atom: -6.226
ΔH_f (0 K), eV/atom: -0.11
Calculated volume, Å³/atom: 16.7

=====

No. 3
This record from Alexandria via LeMat-Bulk describes a relaxed TmTlHg crystal. The functional is GGA-PBE.

a = 5.2209 Å, b = 5.2209 Å, c = 6.4223 Å
α = 90.00°, β = 90.00°, γ = 120.00°
Sites, in units of the cell vectors:
Tm 0.3333 0.6667 0.2500
Tm 0.6667 0.3333 0.7500
Tl 0.0000 0.0000 0.0000
Tl 0.0000 0.0000 0.5000
Hg 0.3333 0.6667 0.7500
Hg 0.6667 0.3333 0.2500

Values from the calculation:
Crystal system: hexagonal
E, eV/atom: -2.665
ΔH_f (0 K), eV/atom: -0.29
ΔE to the lowest computed polymorph, meV/atom: 0.0
Calculated volume, Å³/atom: 25.3

=====

No. 4
This record from Alexandria via LeMat-Bulk describes a relaxed TiBe2Ge crystal. The functional is GGA-PBE.

a = 9.0377 Å, b = 9.0377 Å, c = 9.0377 Å
α = 157.11°, β = 157.11°, γ = 32.60°
Sites, in units of the cell vectors:
Ti 0.0000 0.0000 0.0000
Ti 0.7500 0.2500 0.5000
Be 0.1139 0.6250 0.9889
Be 0.3750 0.3639 0.4889
Be 0.6361 0.1250 0.0111
Be 0.8750 0.8861 0.5111
Ge 0.2500 0.7500 0.5000
Ge 0.5000 0.5000 0.0000

Values from the calculation:
Crystal system: tetragonal
E, eV/atom: -4.701
ΔH_f (0 K), eV/atom: 0.29
Calculated volume, Å³/atom: 14.0

=====

No. 5
This record from Alexandria via LeMat-Bulk describes a relaxed Tc2NiAg crystal. The functional is GGA-PBE.

a = 9.8077 Å, b = 9.8077 Å, c = 9.8077 Å
α = 158.63°, β = 158.63°, γ = 30.40°
Sites, in units of the cell vectors:
Tc 0.0878 0.6250 0.9628
Tc 0.3750 0.3378 0.4628
Tc 0.6622 0.1250 0.0372
Tc 0.8750 0.9122 0.5372
Ni 0.0000 0.0000 0.0000
Ni 0.7500 0.2500 0.5000
Ag 0.2500 0.7500 0.5000
Ag 0.5000 0.5000 0.0000

Values from the calculation:
Crystal system: tetragonal
E, eV/atom: -6.620
ΔH_f (0 K), eV/atom: 0.72
ΔE to the lowest computed polymorph, meV/atom: 535.5
Calculated volume, Å³/atom: 15.6

=====

No. 6
This record from Alexandria via LeMat-Bulk describes a relaxed LiAg2HgPd crystal. The functional is GGA-PBE.

a = 5.1545 Å, b = 5.1545 Å, c = 4.5258 Å
α = 90.00°, β = 90.00°, γ = 90.00°
Sites, in units of the cell vectors:
Li 0.0000 0.0000 0.0000
Ag 0.0000 0.5000 0.5000
Ag 0.5000 0.0000 0.5000
Hg 0.5000 0.5000 0.0000
Pd 0.0000 0.0000 0.5000

Values from the calculation:
Crystal system: tetragonal
E, eV/atom: -2.325
ΔH_f (0 K), eV/atom: 0.30
ΔE to the lowest computed polymorph, meV/atom: 439.3
Calculated volume, Å³/atom: 24.0